Record 1
Sr2BiH | PBE-GGA | relaxed

Cell: 5.2295 18.2753 4.7053 Å, 90.00 90.00 90.00°
Space group Cmmm (No. 65)
Asymmetric unit:
Sr (0.0000, 0.0000, 0.0000)
Sr (0.0000, 0.1803, 0.5000)
Sr (0.0000, 0.5000, 0.5000)
Bi (0.0000, 0.3572, 0.0000)
H (0.0000, 0.0559, 0.5000)

Summary:
Final energy = -3.322 eV per atom
Size of the total moment = 0.00 μB per atom
Excess energy over the best structure of this formula in the dataset = 0 meV/atom
DOS(E_F) = 0.03 states/eV per atom


Record 2
Zn3Br5 | PBE-GGA | relaxed

Cell: 8.7321 12.7850 3.7185 Å, 90.00 90.00 90.00°
Space group Cmmm (No. 65)
Asymmetric unit:
Zn (0.0000, 0.0000, 0.0000)
Zn (0.0000, 0.3355, 0.5000)
Br (0.0000, 0.5000, 0.0000)
Br (0.1874, 0.0000, 0.5000)
Br (0.2500, 0.2500, 0.0000)

Summary:
Final energy = -1.859 eV per atom
Size of the total moment = 0.00 μB per atom
DOS(E_F) = 0.19 states/eV per atom